Record 1
Material: Al2NiB
Method: DFT, PBE
State: relaxed

CIF file:
```
data_Al2NiB
_cell_length_a 3.7355
_cell_length_b 3.7355
_cell_length_c 3.2381
_cell_angle_alpha 90.00
_cell_angle_beta 90.00
_cell_angle_gamma 90.00
_space_group_name_H-M_alt 'P 4/m m m'
_space_group_IT_number 123
_space_group_name_Hall '-P 4 2'
loop_
_atom_site_label
_atom_site_type_symbol
_atom_site_fract_x
_atom_site_fract_y
_atom_site_fract_z
Al1 Al 0.0000 0.5000 0.0000
Ni1 Ni 0.0000 0.0000 0.5000
B1 B 0.5000 0.5000 0.5000
```

Results
The total moment is 0.0 μB/f.u. Its density of states at the Fermi level is 1.005 states/eV/cell. For the total energy, the calculation gives -4.888 eV/atom. For the energy of formation from the pure elements, the calculation gives 98 meV per atom.

Record 2
Material: Al2NiB
Method: DFT, PBE
State: relaxed

CIF file:
```
data_Al2NiB
_cell_length_a 3.7885
_cell_length_b 3.7885
_cell_length_c 15.0063
_cell_angle_alpha 90.00
_cell_angle_beta 90.00
_cell_angle_gamma 90.00
_space_group_name_H-M_alt 'I -4 2 d'
_space_group_IT_number 122
_space_group_name_Hall 'I -4 2bw'
loop_
_atom_site_label
_atom_site_type_symbol
_atom_site_fract_x
_atom_site_fract_y
_atom_site_fract_z
Al1 Al 0.2380 0.2500 0.1250
Ni1 Ni 0.0000 0.0000 0.5000
B1 B 0.0000 0.0000 0.0000
```

Results
The total moment is 0.0 μB/f.u. Its density of states at the Fermi level is 9.291 states/eV/cell. For the total energy, the calculation gives -4.569 eV/atom. For the energy of formation from the pure elements, the calculation gives 417 meV per atom.

Record 3
Material: AlNi3B
Method: DFT, PBE
State: relaxed

CIF file:
```
data_AlNi3B
_cell_length_a 4.1902
_cell_length_b 4.1902
_cell_length_c 4.1902
_cell_angle_alpha 90.00
_cell_angle_beta 90.00
_cell_angle_gamma 90.00
_space_group_name_H-M_alt 'P m -3 m'
_space_group_IT_number 221
_space_group_name_Hall '-P 4 2 3'
loop_
_atom_site_label
_atom_site_type_symbol
_atom_site_fract_x
_atom_site_fract_y
_atom_site_fract_z
Al1 Al 0.0000 0.0000 0.0000
Ni1 Ni 0.0000 0.0000 0.5000
B1 B 0.5000 0.5000 0.5000
```

Results
The total moment is 0.0 μB/f.u. Its density of states at the Fermi level is 4.590 states/eV/cell. For the total energy, the calculation gives -4.042 eV/atom. For the energy of formation from the pure elements, the calculation gives 1511 meV per atom.

Record 4
Material: Al2Ni6B
Method: DFT, PBE
State: relaxed

CIF file:
```
data_Al2Ni6B
_cell_length_a 2.7912
_cell_length_b 6.4072
_cell_length_c 11.7905
_cell_angle_alpha 90.00
_cell_angle_beta 90.00
_cell_angle_gamma 90.00
_space_group_name_H-M_alt 'I m m m'
_space_group_IT_number 71
_space_group_name_Hall '-I 2 2'
loop_
_atom_site_label
_atom_site_type_symbol
_atom_site_fract_x
_atom_site_fract_y
_atom_site_fract_z
Al1 Al 0.0000 0.0000 0.1440
Ni1 Ni 0.0000 0.1903 0.3320
Ni2 Ni 0.0000 0.2851 0.0000
B1 B 0.0000 0.0000 0.5000
```

Results
The total moment is 0.0 μB/f.u. Its density of states at the Fermi level is 11.965 states/eV/cell. For the total energy, the calculation gives -5.635 eV/atom. For the energy of formation from the pure elements, the calculation gives -207 meV per atom.

Record 5
Material: AlNi3B
Method: DFT, PBE
State: relaxed

CIF file:
```
data_AlNi3B
_cell_length_a 3.8074
_cell_length_b 3.8074
_cell_length_c 3.8074
_cell_angle_alpha 90.00
_cell_angle_beta 90.00
_cell_angle_gamma 90.00
_space_group_name_H-M_alt 'P m -3 m'
_space_group_IT_number 221
_space_group_name_Hall '-P 4 2 3'
loop_
_atom_site_label
_atom_site_type_symbol
_atom_site_fract_x
_atom_site_fract_y
_atom_site_fract_z
Al1 Al 0.0000 0.0000 0.0000
Ni1 Ni 0.0000 0.5000 0.5000
B1 B 0.5000 0.5000 0.5000
```

Results
The total moment is 0.0 μB/f.u. Its density of states at the Fermi level is 2.790 states/eV/cell. For the total energy, the calculation gives -5.874 eV/atom. For the energy of formation from the pure elements, the calculation gives -322 meV per atom.

Record 6
Material: AlNi9B8
Method: DFT, PBE
State: relaxed

CIF file:
```
data_AlNi9B8
_cell_length_a 7.1373
_cell_length_b 8.0934
_cell_length_c 10.7807
_cell_angle_alpha 90.00
_cell_angle_beta 90.00
_cell_angle_gamma 90.00
_space_group_name_H-M_alt 'C m c m'
_space_group_IT_number 63
_space_group_name_Hall '-C 2c 2'
loop_
_atom_site_label
_atom_site_type_symbol
_atom_site_fract_x
_atom_site_fract_y
_atom_site_fract_z
Al1 Al 0.0000 0.0869 0.2500
Ni1 Ni 0.0000 0.0000 0.0000
Ni2 Ni 0.0000 0.2901 0.0813
Ni3 Ni 0.1916 0.4307 0.6143
Ni4 Ni 0.2219 0.1715 0.7500
B1 B 0.0000 0.2197 0.6200
B2 B 0.0000 0.3530 0.7500
B3 B 0.0000 0.4323 0.2500
B4 B 0.2114 0.1715 0.5512
```

Results
The total moment is 0.0 μB/f.u. Its density of states at the Fermi level is 36.579 states/eV/cell. For the total energy, the calculation gives -6.353 eV/atom. For the energy of formation from the pure elements, the calculation gives -286 meV per atom.

Record 7
Material: AlNi6B
Method: DFT, PBE
State: relaxed

CIF file:
```
data_AlNi6B
_cell_length_a 7.0849
_cell_length_b 7.0849
_cell_length_c 6.2883
_cell_angle_alpha 90.00
_cell_angle_beta 90.00
_cell_angle_gamma 120.00
_space_group_name_H-M_alt 'R -3 m'
_space_group_IT_number 166
_space_group_name_Hall '-R 3 2"'
loop_
_atom_site_label
_atom_site_type_symbol
_atom_site_fract_x
_atom_site_fract_y
_atom_site_fract_z
Al1 Al 0.0000 0.0000 0.0000
Ni1 Ni 0.0708 0.5354 0.3263
B1 B 0.0000 0.0000 0.5000
```

Results
The total moment is 0.0 μB/f.u. Its density of states at the Fermi level is 27.882 states/eV/cell. For the total energy, the calculation gives -5.720 eV/atom. For the energy of formation from the pure elements, the calculation gives -81 meV per atom.

Record 8
Material: Al5Ni12B2
Method: DFT, PBE
State: relaxed

CIF file:
```
data_Al5Ni12B2
_cell_length_a 10.5852
_cell_length_b 6.6959
_cell_length_c 6.0737
_cell_angle_alpha 90.00
_cell_angle_beta 96.39
_cell_angle_gamma 90.00
_space_group_name_H-M_alt 'C 1 2/m 1'
_space_group_IT_number 12
loop_
_space_group_symop_operation_xyz
'x,y,z'
'-x,-y,-z'
'-x,y,-z'
'x,-y,z'
'x+1/2,y+1/2,z'
'-x+1/2,-y+1/2,-z'
'-x+1/2,y+1/2,-z'
'x+1/2,-y+1/2,z'
loop_
_atom_site_label
_atom_site_type_symbol
_atom_site_fract_x
_atom_site_fract_y
_atom_site_fract_z
Al1 Al 0.0000 0.0000 0.0000
Al2 Al 0.1932 0.5000 0.4487
Al3 Al 0.2485 0.0000 0.0956
Ni1 Ni 0.0361 0.5000 0.7056
Ni2 Ni 0.0864 0.0000 0.3780
Ni3 Ni 0.1105 0.3058 0.1120
Ni4 Ni 0.1439 0.1815 0.7366
B1 B 0.0000 0.2527 0.5000
```

Results
The total moment is 0.0 μB/f.u. Its density of states at the Fermi level is 20.682 states/eV/cell. For the total energy, the calculation gives -5.699 eV/atom. For the energy of formation from the pure elements, the calculation gives -360 meV per atom.